Record 1
Ac3Ga4Au: optimized geometry, PBE.

Computed properties:
- crystal system = monoclinic
- uncorrected energy (eV for the cell shown) = -64.095
- size of the total moment (μB per formula unit) = 0.00
- E_form (eV per formula unit) = -4.337

The structure in CIF format:
```
data_Ac3Ga4Au
_space_group_name_H-M_alt 'C 1 2/m 1'
_space_group_IT_number 12
_space_group_name_Hall '-C 2y'
_cell_length_a 22.173
_cell_length_b 4.420
_cell_length_c 4.666
_cell_angle_alpha 90.00
_cell_angle_beta 100.07
_cell_angle_gamma 90.00
loop_
_atom_site_label
_atom_site_fract_x
_atom_site_fract_y
_atom_site_fract_z
Ac1 0.000 0.000 0.000
Ac2 0.165 0.000 0.445
Ga1 0.104 0.500 0.896
Ga2 0.220 0.500 0.965
Au1 0.000 0.500 0.500
```

Record 2
Ac3Ga2Au: optimized geometry, PBE.

Computed properties:
- crystal system = tetragonal
- uncorrected energy (eV for the cell shown) = -24.932
- size of the total moment (μB per formula unit) = 0.00
- E_form (eV per formula unit) = -3.276

The structure in CIF format:
```
data_Ac3Ga2Au
_space_group_name_H-M_alt 'P 4/m m m'
_space_group_IT_number 123
_space_group_name_Hall '-P 4 2'
_cell_length_a 3.916
_cell_length_b 3.916
_cell_length_c 11.751
_cell_angle_alpha 90.00
_cell_angle_beta 90.00
_cell_angle_gamma 90.00
loop_
_atom_site_label
_atom_site_fract_x
_atom_site_fract_y
_atom_site_fract_z
Ac1 0.000 0.000 0.000
Ac2 0.000 0.000 0.333
Ga1 0.500 0.500 0.166
Au1 0.500 0.500 0.500
```

Record 3
Ac2Ga5Au: optimized geometry, PBE.

Computed properties:
- crystal system = tetragonal
- uncorrected energy (eV for the cell shown) = -60.824
- size of the total moment (μB per formula unit) = 0.00
- E_form (eV per formula unit) = -3.784

The structure in CIF format:
```
data_Ac2Ga5Au
_space_group_name_H-M_alt 'I 4 m m'
_space_group_IT_number 107
_space_group_name_Hall 'I 4 -2'
_cell_length_a 6.413
_cell_length_b 6.413
_cell_length_c 9.682
_cell_angle_alpha 90.00
_cell_angle_beta 90.00
_cell_angle_gamma 90.00
loop_
_atom_site_label
_atom_site_fract_x
_atom_site_fract_y
_atom_site_fract_z
Ac1 0.000 0.500 0.000
Ga1 0.000 0.000 0.463
Ga2 0.206 0.206 0.252
Au1 0.000 0.000 0.750
```

Record 4
AcGa2Au10: optimized geometry, PBE.

Computed properties:
- crystal system = orthorhombic
- uncorrected energy (eV for the cell shown) = -186.205
- size of the total moment (μB per formula unit) = 0.00
- E_form (eV per formula unit) = -3.615

The structure in CIF format:
```
data_AcGa2Au10
_space_group_name_H-M_alt 'F m m m'
_space_group_IT_number 69
_space_group_name_Hall '-F 2 2'
_cell_length_a 5.710
_cell_length_b 12.936
_cell_length_c 13.949
_cell_angle_alpha 90.00
_cell_angle_beta 90.00
_cell_angle_gamma 90.00
loop_
_atom_site_label
_atom_site_fract_x
_atom_site_fract_y
_atom_site_fract_z
Ac1 0.000 0.000 0.000
Ga1 0.250 0.000 0.250
Au1 0.000 0.108 0.387
Au2 0.000 0.166 0.175
Au3 0.250 0.250 0.000
```

Record 5
Ac3Ga9Au2: optimized geometry, PBE.

Computed properties:
- crystal system = orthorhombic
- uncorrected energy (eV for the cell shown) = -107.221
- size of the total moment (μB per formula unit) = 0.00
- E_form (eV per formula unit) = -7.489

The structure in CIF format:
```
data_Ac3Ga9Au2
_space_group_name_H-M_alt 'I m m m'
_space_group_IT_number 71
_space_group_name_Hall '-I 2 2'
_cell_length_a 4.551
_cell_length_b 10.294
_cell_length_c 13.380
_cell_angle_alpha 90.00
_cell_angle_beta 90.00
_cell_angle_gamma 90.00
loop_
_atom_site_label
_atom_site_fract_x
_atom_site_fract_y
_atom_site_fract_z
Ac1 0.000 0.000 0.000
Ac2 0.000 0.000 0.322
Ga1 0.000 0.268 0.141
Ga2 0.000 0.371 0.331
Ga3 0.000 0.500 0.000
Au1 0.000 0.230 0.500
```

Record 6
Ac2GaAu2: optimized geometry, PBE.

Computed properties:
- crystal system = monoclinic
- uncorrected energy (eV for the cell shown) = -85.907
- size of the total moment (μB per formula unit) = 0.00
- E_form (eV per formula unit) = -3.678

The structure in CIF format:
```
data_Ac2GaAu2
_space_group_name_H-M_alt 'C 1 2/m 1'
_space_group_IT_number 12
_space_group_name_Hall '-C 2y'
_cell_length_a 11.629
_cell_length_b 4.608
_cell_length_c 11.885
_cell_angle_alpha 90.00
_cell_angle_beta 118.55
_cell_angle_gamma 90.00
loop_
_atom_site_label
_atom_site_fract_x
_atom_site_fract_y
_atom_site_fract_z
Ac1 0.028 0.000 0.350
Ac2 0.192 0.000 0.108
Ga1 0.228 0.500 0.340
Au1 0.020 0.500 0.881
Au2 0.145 0.500 0.578
```

Record 7
AcGa3Au5: optimized geometry, PBE.

Computed properties:
- crystal system = orthorhombic
- uncorrected energy (eV for the cell shown) = -133.848
- size of the total moment (μB per formula unit) = 0.00
- E_form (eV per formula unit) = -3.886

The structure in CIF format:
```
data_AcGa3Au5
_space_group_name_H-M_alt 'C m c m'
_space_group_IT_number 63
_space_group_name_Hall '-C 2c 2'
_cell_length_a 4.131
_cell_length_b 13.520
_cell_length_c 13.757
_cell_angle_alpha 90.00
_cell_angle_beta 90.00
_cell_angle_gamma 90.00
loop_
_atom_site_label
_atom_site_fract_x
_atom_site_fract_y
_atom_site_fract_z
Ac1 0.000 0.179 0.250
Ga1 0.000 0.088 0.750
Ga2 0.000 0.367 0.516
Au1 0.000 0.000 0.000
Au2 0.000 0.199 0.598
Au3 0.000 0.493 0.150
```

Record 8
Ac5Ga4Au: optimized geometry, PBE.

Computed properties:
- crystal system = tetragonal
- uncorrected energy (eV for the cell shown) = -40.944
- size of the total moment (μB per formula unit) = 0.00
- E_form (eV per formula unit) = -5.017

The structure in CIF format:
```
data_Ac5Ga4Au
_space_group_name_H-M_alt 'P 4/m m m'
_space_group_IT_number 123
_space_group_name_Hall '-P 4 2'
_cell_length_a 3.917
_cell_length_b 3.917
_cell_length_c 19.634
_cell_angle_alpha 90.00
_cell_angle_beta 90.00
_cell_angle_gamma 90.00
loop_
_atom_site_label
_atom_site_fract_x
_atom_site_fract_y
_atom_site_fract_z
Ac1 0.000 0.000 0.000
Ac2 0.000 0.000 0.200
Ac3 0.000 0.000 0.399
Ga1 0.500 0.500 0.099
Ga2 0.500 0.500 0.299
Au1 0.500 0.500 0.500
```

Record 9
Ac3Ga3Au2: optimized geometry, PBE.

Computed properties:
- crystal system = orthorhombic
- uncorrected energy (eV for the cell shown) = -133.641
- size of the total moment (μB per formula unit) = 0.00
- E_form (eV per formula unit) = -5.450

The structure in CIF format:
```
data_Ac3Ga3Au2
_space_group_name_H-M_alt 'C m c m'
_space_group_IT_number 63
_space_group_name_Hall '-C 2c 2'
_cell_length_a 4.637
_cell_length_b 11.646
_cell_length_c 16.430
_cell_angle_alpha 90.00
_cell_angle_beta 90.00
_cell_angle_gamma 90.00
loop_
_atom_site_label
_atom_site_fract_x
_atom_site_fract_y
_atom_site_fract_z
Ac1 0.000 0.095 0.250
Ac2 0.000 0.366 0.097
Ga1 0.000 0.083 0.048
Ga2 0.000 0.190 0.750
Au1 0.000 0.339 0.614
```

Record 10
AcGa4Au2: optimized geometry, PBE.

Computed properties:
- crystal system = orthorhombic
- uncorrected energy (eV for the cell shown) = -105.177
- size of the total moment (μB per formula unit) = 0.00
- E_form (eV per formula unit) = -3.523

The structure in CIF format:
```
data_AcGa4Au2
_space_group_name_H-M_alt 'P n m a'
_space_group_IT_number 62
_space_group_name_Hall '-P 2ac 2n'
_cell_length_a 17.893
_cell_length_b 4.741
_cell_length_c 6.831
_cell_angle_alpha 90.00
_cell_angle_beta 90.00
_cell_angle_gamma 90.00
loop_
_atom_site_label
_atom_site_fract_x
_atom_site_fract_y
_atom_site_fract_z
Ac1 0.138 0.250 0.003
Ga1 0.038 0.750 0.806
Ga2 0.071 0.250 0.485
Ga3 0.181 0.750 0.317
Ga4 0.187 0.750 0.706
Au1 0.033 0.750 0.236
Au2 0.218 0.250 0.516
```

Record 11
Ac5GaAu4: optimized geometry, PBE.

Computed properties:
- crystal system = tetragonal
- uncorrected energy (eV for the cell shown) = -43.781
- size of the total moment (μB per formula unit) = 0.00
- E_form (eV per formula unit) = -7.103

The structure in CIF format:
```
data_Ac5GaAu4
_space_group_name_H-M_alt 'P 4/m m m'
_space_group_IT_number 123
_space_group_name_Hall '-P 4 2'
_cell_length_a 3.918
_cell_length_b 3.918
_cell_length_c 19.528
_cell_angle_alpha 90.00
_cell_angle_beta 90.00
_cell_angle_gamma 90.00
loop_
_atom_site_label
_atom_site_fract_x
_atom_site_fract_y
_atom_site_fract_z
Ac1 0.000 0.000 0.000
Ac2 0.000 0.000 0.200
Ac3 0.000 0.000 0.400
Ga1 0.500 0.500 0.500
Au1 0.500 0.500 0.099
Au2 0.500 0.500 0.300
```

Record 12
Ac3GaAu: optimized geometry, PBE.

Computed properties:
- crystal system = triclinic
- uncorrected energy (eV for the cell shown) = -42.096
- size of the total moment (μB per formula unit) = 0.00
- E_form (eV per formula unit) = -2.418

The structure in CIF format:
```
data_Ac3GaAu
_space_group_name_H-M_alt 'P -1'
_space_group_IT_number 2
_space_group_name_Hall '-P 1'
_cell_length_a 4.264
_cell_length_b 8.915
_cell_length_c 9.133
_cell_angle_alpha 88.47
_cell_angle_beta 89.97
_cell_angle_gamma 76.23
loop_
_atom_site_label
_atom_site_fract_x
_atom_site_fract_y
_atom_site_fract_z
Ac1 0.057 0.387 0.191
Ac2 0.235 0.030 0.819
Ac3 0.401 0.696 0.419
Ga1 0.215 0.071 0.434
Au1 0.400 0.699 0.058
```

Record 13
AcGa2Au2: optimized geometry, PBE.

Computed properties:
- crystal system = tetragonal
- uncorrected energy (eV for the cell shown) = -40.258
- size of the total moment (μB per formula unit) = 0.00
- E_form (eV per formula unit) = -3.412

The structure in CIF format:
```
data_AcGa2Au2
_space_group_name_H-M_alt 'P 4/n m m'
_space_group_IT_number 129
_cell_length_a 4.611
_cell_length_b 4.611
_cell_length_c 10.503
_cell_angle_alpha 90.00
_cell_angle_beta 90.00
_cell_angle_gamma 90.00
loop_
_space_group_symop_operation_xyz
'x,y,z'
'-x,-y,-z'
'-y+1/2,x,z'
'y+1/2,-x,-z'
'-x+1/2,-y+1/2,z'
'x+1/2,y+1/2,-z'
'y,-x+1/2,z'
'-y,x+1/2,-z'
'x+1/2,-y,-z'
'-x+1/2,y,z'
'-y,-x,-z'
'y,x,z'
'-x,y+1/2,-z'
'x,-y+1/2,z'
'y+1/2,x+1/2,-z'
'-y+1/2,-x+1/2,z'
loop_
_atom_site_label
_atom_site_fract_x
_atom_site_fract_y
_atom_site_fract_z
Ac1 0.250 0.250 0.248
Ga1 0.250 0.250 0.872
Ga2 0.250 0.750 0.500
Au1 0.250 0.250 0.628
Au2 0.250 0.750 0.000
```

Record 14
Ac5GaAu2: optimized geometry, PBE.

Computed properties:
- crystal system = tetragonal
- uncorrected energy (eV for the cell shown) = -136.090
- size of the total moment (μB per formula unit) = 0.00
- E_form (eV per formula unit) = -3.899

The structure in CIF format:
```
data_Ac5GaAu2
_space_group_name_H-M_alt 'I 4/m c m'
_space_group_IT_number 140
_space_group_name_Hall '-I 4 2c'
_cell_length_a 8.121
_cell_length_b 8.121
_cell_length_c 16.518
_cell_angle_alpha 90.00
_cell_angle_beta 90.00
_cell_angle_gamma 90.00
loop_
_atom_site_label
_atom_site_fract_x
_atom_site_fract_y
_atom_site_fract_z
Ac1 0.000 0.000 0.000
Ac2 0.168 0.332 0.150
Ga1 0.000 0.000 0.250
Au1 0.129 0.371 0.500
```

Record 15
AcGa4Au3: optimized geometry, PBE.

Computed properties:
- crystal system = tetragonal
- uncorrected energy (eV for the cell shown) = -30.150
- size of the total moment (μB per formula unit) = 0.00
- E_form (eV per formula unit) = -4.102

The structure in CIF format:
```
data_AcGa4Au3
_space_group_name_H-M_alt 'P 4/m m m'
_space_group_IT_number 123
_space_group_name_Hall '-P 4 2'
_cell_length_a 4.419
_cell_length_b 4.419
_cell_length_c 8.824
_cell_angle_alpha 90.00
_cell_angle_beta 90.00
_cell_angle_gamma 90.00
loop_
_atom_site_label
_atom_site_fract_x
_atom_site_fract_y
_atom_site_fract_z
Ac1 0.000 0.000 0.000
Ga1 0.000 0.500 0.328
Au1 0.000 0.000 0.500
Au2 0.500 0.500 0.159
```

Record 16
Ac2Ga2Au: optimized geometry, PBE.

Computed properties:
- crystal system = monoclinic
- uncorrected energy (eV for the cell shown) = -83.048
- size of the total moment (μB per formula unit) = 0.00
- E_form (eV per formula unit) = -3.214

The structure in CIF format:
```
data_Ac2Ga2Au
_space_group_name_H-M_alt 'C 1 2/m 1'
_space_group_IT_number 12
_space_group_name_Hall '-C 2y'
_cell_length_a 11.642
_cell_length_b 4.703
_cell_length_c 11.719
_cell_angle_alpha 90.00
_cell_angle_beta 118.02
_cell_angle_gamma 90.00
loop_
_atom_site_label
_atom_site_fract_x
_atom_site_fract_y
_atom_site_fract_z
Ac1 0.091 0.000 0.391
Ac2 0.206 0.500 0.155
Ga1 0.054 0.000 0.929
Ga2 0.119 0.500 0.606
Au1 0.078 0.500 0.826
```

Record 17
AcGa4Au2: optimized geometry, PBE.

Computed properties:
- crystal system = orthorhombic
- uncorrected energy (eV for the cell shown) = -51.791
- size of the total moment (μB per formula unit) = 0.00
- E_form (eV per formula unit) = -3.125

The structure in CIF format:
```
data_AcGa4Au2
_space_group_name_H-M_alt 'C m m m'
_space_group_IT_number 65
_space_group_name_Hall '-C 2 2'
_cell_length_a 4.438
_cell_length_b 15.565
_cell_length_c 4.375
_cell_angle_alpha 90.00
_cell_angle_beta 90.00
_cell_angle_gamma 90.00
loop_
_atom_site_label
_atom_site_fract_x
_atom_site_fract_y
_atom_site_fract_z
Ac1 0.000 0.000 0.000
Ga1 0.000 0.186 0.500
Ga2 0.000 0.306 0.000
Au1 0.000 0.410 0.500
```

Record 18
Ac3Ga3Au: optimized geometry, PBE.

Computed properties:
- crystal system = monoclinic
- uncorrected energy (eV for the cell shown) = -115.674
- size of the total moment (μB per formula unit) = 0.00
- E_form (eV per formula unit) = -4.235

The structure in CIF format:
```
data_Ac3Ga3Au
_space_group_name_H-M_alt 'C 1 2/m 1'
_space_group_IT_number 12
_space_group_name_Hall '-C 2y'
_cell_length_a 11.686
_cell_length_b 4.724
_cell_length_c 15.714
_cell_angle_alpha 90.00
_cell_angle_beta 110.52
_cell_angle_gamma 90.00
loop_
_atom_site_label
_atom_site_fract_x
_atom_site_fract_y
_atom_site_fract_z
Ac1 0.032 0.000 0.273
Ac2 0.181 0.000 0.575
Ac3 0.184 0.500 0.109
Ga1 0.028 0.500 0.425
Ga2 0.067 0.000 0.952
Ga3 0.176 0.500 0.725
Au1 0.104 0.500 0.879
```

Record 19
Ac3Ga2Au6: optimized geometry, PBE.

Computed properties:
- crystal system = tetragonal
- uncorrected energy (eV for the cell shown) = -88.550
- size of the total moment (μB per formula unit) = 0.00
- E_form (eV per formula unit) = -6.232

The structure in CIF format:
```
data_Ac3Ga2Au6
_space_group_name_H-M_alt 'I 4/m m m'
_space_group_IT_number 139
_space_group_name_Hall '-I 4 2'
_cell_length_a 4.447
_cell_length_b 4.447
_cell_length_c 29.595
_cell_angle_alpha 90.00
_cell_angle_beta 90.00
_cell_angle_gamma 90.00
loop_
_atom_site_label
_atom_site_fract_x
_atom_site_fract_y
_atom_site_fract_z
Ac1 0.000 0.000 0.000
Ac2 0.000 0.000 0.176
Ga1 0.000 0.000 0.375
Au1 0.000 0.000 0.284
Au2 0.000 0.500 0.080
```

Record 20
Ac3Ga4Au4: optimized geometry, PBE.

Computed properties:
- crystal system = orthorhombic
- uncorrected energy (eV for the cell shown) = -90.546
- size of the total moment (μB per formula unit) = 0.00
- E_form (eV per formula unit) = -7.731

The structure in CIF format:
```
data_Ac3Ga4Au4
_space_group_name_H-M_alt 'I m m m'
_space_group_IT_number 71
_space_group_name_Hall '-I 2 2'
_cell_length_a 4.479
_cell_length_b 4.630
_cell_length_c 26.270
_cell_angle_alpha 90.00
_cell_angle_beta 90.00
_cell_angle_gamma 90.00
loop_
_atom_site_label
_atom_site_fract_x
_atom_site_fract_y
_atom_site_fract_z
Ac1 0.000 0.000 0.000
Ac2 0.000 0.500 0.149
Ga1 0.000 0.000 0.452
Ga2 0.000 0.500 0.303
Au1 0.000 0.000 0.250
Au2 0.000 0.500 0.402
```